Material: CdPPt2
Method: DFT, PBE
State: optimized geometry Values from VASP.

Values from the calculation:
Energy of formation from the pure elements = -0.09 eV/atom
D(E_F) = 0.798 states/eV per atom
Total magnetic moment = 0.00 μB per cell
DFT total energy = -4.688 eV per atom
Excess energy over the best structure of this formula in the dataset = 0.1719 eV per atom

The structure in Quantum ESPRESSO input format:
```
&SYSTEM
  ibrav = 0, nat = 4, ntyp = 3
/
ATOMIC_SPECIES
Pt 195.08 Pt.upf
Cd 112.41 Cd.upf
P 30.97 P.upf
CELL_PARAMETERS angstrom
8.030 -0.137 -0.081
7.411 3.093 -0.081
7.411 1.419 2.750
ATOMIC_POSITIONS crystal
Pt 0.257 0.257 0.257
Cd 0.501 0.501 0.501
Pt 0.010 0.010 0.010
P 0.732 0.732 0.732
```